(1)
Computed, not measured: a relaxed structure of ReNiMo at the PBE level of DFT.

Geometry as CIF:
```
data_ReNiMo
_chemical_formula_sum 'Re4 Ni4 Mo4'
_cell_length_a 5.722
_cell_length_b 5.722
_cell_length_c 5.722
_cell_angle_alpha 90.00
_cell_angle_beta 90.00
_cell_angle_gamma 90.00
_space_group_name_H-M_alt 'F -4 3 m'
_space_group_IT_number 216
_space_group_name_Hall 'F -4 2 3'
loop_
_atom_site_label
_atom_site_fract_x
_atom_site_fract_y
_atom_site_fract_z
Re1 0.000 0.000 0.000
Ni1 0.250 0.250 0.750
Mo1 0.000 0.000 0.500
```

Output
Energy of formation ... 0.723 eV per atom
Distance to the lowest polymorph of the same formula ... 733 meV per atom
Magnetic moment ... 0.0 μB per cell


(2)
Computed, not measured: a relaxed structure of Dy6CuHg2 at the PBE level of DFT.

Geometry as CIF:
```
data_Dy6CuHg2
_chemical_formula_sum 'Dy12 Cu2 Hg4'
_cell_length_a 6.272
_cell_length_b 7.903
_cell_length_c 11.711
_cell_angle_alpha 90.00
_cell_angle_beta 118.81
_cell_angle_gamma 90.00
_space_group_name_H-M_alt 'P 1 21/c 1'
_space_group_IT_number 14
loop_
_space_group_symop_operation_xyz
'x,y,z'
'-x,-y,-z'
'-x,y+1/2,-z+1/2'
'x,-y+1/2,z+1/2'
loop_
_atom_site_label
_atom_site_fract_x
_atom_site_fract_y
_atom_site_fract_z
Dy1 0.097 0.211 0.446
Dy2 0.299 0.661 0.444
Dy3 0.371 0.038 0.240
Cu1 0.500 0.000 0.500
Hg1 0.149 0.107 0.727
```

Output
Energy of formation ... -0.156 eV per atom
Magnetic moment ... 0.0 μB per cell


(3)
Computed, not measured: a relaxed structure of Ba3LiNd2S6 at the PBE level of DFT.

Geometry as CIF:
```
data_Ba3LiNd2S6
_chemical_formula_sum 'Ba6 Li2 Nd4 S12'
_cell_length_a 7.377
_cell_length_b 12.782
_cell_length_c 7.508
_cell_angle_alpha 90.00
_cell_angle_beta 109.02
_cell_angle_gamma 90.00
_space_group_name_H-M_alt 'C 1 2/m 1'
_space_group_IT_number 12
loop_
_space_group_symop_operation_xyz
'x,y,z'
'-x,-y,-z'
'-x,y,-z'
'x,-y,z'
'x+1/2,y+1/2,z'
'-x+1/2,-y+1/2,-z'
'-x+1/2,y+1/2,-z'
'x+1/2,-y+1/2,z'
loop_
_atom_site_label
_atom_site_fract_x
_atom_site_fract_y
_atom_site_fract_z
Ba1 0.000 0.000 0.000
Ba2 0.000 0.336 0.000
Li1 0.000 0.500 0.500
Nd1 0.000 0.167 0.500
S1 0.235 0.000 0.717
S2 0.243 0.331 0.721
```

Output
Magnetic moment ... 0.0 μB per cell
Raw formation energy ... -2226 kJ/mol of formula units


(4)
Computed, not measured: a relaxed structure of Sm3MnS6 at the PBE level of DFT.

Geometry as CIF:
```
data_Sm3MnS6
_chemical_formula_sum 'Sm12 Mn4 S24'
_cell_length_a 10.828
_cell_length_b 13.422
_cell_length_c 6.644
_cell_angle_alpha 90.00
_cell_angle_beta 90.00
_cell_angle_gamma 90.00
_space_group_name_H-M_alt 'C m c 21'
_space_group_IT_number 36
loop_
_space_group_symop_operation_xyz
'x,y,z'
'-x,-y,z+1/2'
'-x,y,z'
'x,-y,z+1/2'
'x+1/2,y+1/2,z'
'-x+1/2,-y+1/2,z+1/2'
'-x+1/2,y+1/2,z'
'x+1/2,-y+1/2,z+1/2'
loop_
_atom_site_label
_atom_site_fract_x
_atom_site_fract_y
_atom_site_fract_z
Sm1 0.000 0.101 0.000
Sm2 0.183 0.400 0.916
Mn1 0.000 0.302 0.376
S1 0.000 0.281 0.721
S2 0.000 0.460 0.227
S3 0.162 0.027 0.708
S4 0.164 0.238 0.206
```

Output
Magnetic moment ... 16.0 μB per cell
Raw formation energy ... -1580 kJ/mol of formula units


(5)
Computed, not measured: a relaxed structure of Sr8CdPt2 at the PBE level of DFT.

Geometry as CIF:
```
data_Sr8CdPt2
_chemical_formula_sum 'Sr16 Cd2 Pt4'
_cell_length_a 9.701
_cell_length_b 14.233
_cell_length_c 6.310
_cell_angle_alpha 90.00
_cell_angle_beta 102.95
_cell_angle_gamma 90.00
_space_group_name_H-M_alt 'C 1 m 1'
_space_group_IT_number 8
loop_
_space_group_symop_operation_xyz
'x,y,z'
'x,-y,z'
'x+1/2,y+1/2,z'
'x+1/2,-y+1/2,z'
loop_
_atom_site_label
_atom_site_fract_x
_atom_site_fract_y
_atom_site_fract_z
Sr1 0.000 0.000 0.000
Sr2 0.080 0.365 0.799
Sr3 0.185 0.135 0.625
Sr4 0.261 0.500 0.419
Sr5 0.383 0.244 0.211
Cd1 0.380 0.000 0.160
Pt1 0.382 0.313 0.710
```

Output
Energy of formation ... -0.396 eV per atom
Magnetic moment ... 0.0 μB per cell


(6)
Computed, not measured: a relaxed structure of CoSiP at the PBE level of DFT.

Geometry as CIF:
```
data_CoSiP
_chemical_formula_sum 'Co4 Si4 P4'
_cell_length_a 5.385
_cell_length_b 5.385
_cell_length_c 5.385
_cell_angle_alpha 90.00
_cell_angle_beta 90.00
_cell_angle_gamma 90.00
_space_group_name_H-M_alt 'F -4 3 m'
_space_group_IT_number 216
_space_group_name_Hall 'F -4 2 3'
loop_
_atom_site_label
_atom_site_fract_x
_atom_site_fract_y
_atom_site_fract_z
Co1 0.000 0.000 0.000
Si1 0.000 0.000 0.500
P1 0.250 0.250 0.250
```

Output
Magnetic moment ... 0.0 μB per cell
Raw formation energy ... 56 kJ/mol of formula units


(7)
Computed, not measured: a relaxed structure of InBiSe2 at the PBE level of DFT.

Geometry as CIF:
```
data_InBiSe2
_chemical_formula_sum 'In4 Bi4 Se8'
_cell_length_a 7.686
_cell_length_b 7.686
_cell_length_c 7.949
_cell_angle_alpha 90.00
_cell_angle_beta 90.00
_cell_angle_gamma 90.00
_space_group_name_H-M_alt 'I -4 2 d'
_space_group_IT_number 122
_space_group_name_Hall 'I -4 2bw'
loop_
_atom_site_label
_atom_site_fract_x
_atom_site_fract_y
_atom_site_fract_z
In1 0.000 0.000 0.000
Bi1 0.000 0.000 0.500
Se1 0.244 0.250 0.125
```

Output
Magnetic moment ... 0.0 μB per cell
Raw formation energy ... -85 kJ/mol of formula units


(8)
Computed, not measured: a relaxed structure of Rb2NaMgO at the PBE level of DFT.

Geometry as CIF:
```
data_Rb2NaMgO
_chemical_formula_sum 'Rb2 Na1 Mg1 O1'
_cell_length_a 6.793
_cell_length_b 6.793
_cell_length_c 5.751
_cell_angle_alpha 90.00
_cell_angle_beta 90.00
_cell_angle_gamma 90.00
_space_group_name_H-M_alt 'P 4/m m m'
_space_group_IT_number 123
_space_group_name_Hall '-P 4 2'
loop_
_atom_site_label
_atom_site_fract_x
_atom_site_fract_y
_atom_site_fract_z
Rb1 0.000 0.500 0.000
Na1 0.000 0.000 0.500
Mg1 0.000 0.000 0.000
O1 0.500 0.500 0.500
```

Output
Magnetic moment ... 0.0 μB per cell
Raw formation energy ... 247 kJ/mol of formula units


Which formula does entry 2 have? Dy6CuHg2